a) Material: Nb2Co2N
Method: DFT, PBE
State: optimized geometry

N(E_F) (states/eV per atom): 1.085
SG: No. 127

The structure in CIF format:
```
data_Nb2Co2N
_chemical_formula_sum 'Nb4 Co4 N2'
_space_group_name_H-M_alt 'P 1'
_space_group_IT_number 1
_cell_length_a 5.714
_cell_length_b 5.714
_cell_length_c 4.274
_cell_angle_alpha 90.00
_cell_angle_beta 90.00
_cell_angle_gamma 90.00
loop_
_space_group_symop_operation_xyz
'x,y,z'
loop_
_atom_site_label
_atom_site_type_symbol
_atom_site_fract_x
_atom_site_fract_y
_atom_site_fract_z
Nb1 Nb 0.175 0.325 0.000
Nb2 Nb 0.325 0.825 0.000
Nb3 Nb 0.675 0.175 0.000
Nb4 Nb 0.825 0.675 0.000
Co1 Co 0.142 0.642 0.500
Co2 Co 0.358 0.142 0.500
Co3 Co 0.642 0.858 0.500
Co4 Co 0.858 0.358 0.500
N1 N 0.000 0.000 0.000
N2 N 0.500 0.500 0.000
```


b) Material: Nb2Co2N
Method: DFT, PBE
State: optimized geometry

N(E_F) (states/eV per atom): 0.873
SG: No. 139

The structure in CIF format:
```
data_Nb2Co2N
_chemical_formula_sum 'Nb4 Co4 N2'
_space_group_name_H-M_alt 'P 1'
_space_group_IT_number 1
_cell_length_a 3.039
_cell_length_b 3.039
_cell_length_c 14.094
_cell_angle_alpha 90.00
_cell_angle_beta 90.00
_cell_angle_gamma 90.00
loop_
_space_group_symop_operation_xyz
'x,y,z'
loop_
_atom_site_label
_atom_site_type_symbol
_atom_site_fract_x
_atom_site_fract_y
_atom_site_fract_z
Nb1 Nb 0.000 0.000 0.095
Nb2 Nb 0.000 0.000 0.905
Nb3 Nb 0.500 0.500 0.405
Nb4 Nb 0.500 0.500 0.595
Co1 Co 0.000 0.500 0.250
Co2 Co 0.000 0.500 0.750
Co3 Co 0.500 0.000 0.250
Co4 Co 0.500 0.000 0.750
N1 N 0.000 0.000 0.500
N2 N 0.500 0.500 0.000
```


Most stable of them? a).


a) Material: NbCo3N
Method: DFT, PBE
State: optimized geometry

N(E_F) (states/eV per atom): 1.809
SG: No. 221

The structure in CIF format:
```
data_NbCo3N
_chemical_formula_sum 'Nb1 Co3 N1'
_space_group_name_H-M_alt 'P 1'
_space_group_IT_number 1
_cell_length_a 4.494
_cell_length_b 4.494
_cell_length_c 4.494
_cell_angle_alpha 90.00
_cell_angle_beta 90.00
_cell_angle_gamma 90.00
loop_
_space_group_symop_operation_xyz
'x,y,z'
loop_
_atom_site_label
_atom_site_type_symbol
_atom_site_fract_x
_atom_site_fract_y
_atom_site_fract_z
Nb1 Nb 0.000 0.000 0.000
Co1 Co 0.000 0.000 0.500
Co2 Co 0.000 0.500 0.000
Co3 Co 0.500 0.000 0.000
N1 N 0.500 0.500 0.500
```


b) Material: NbCo3N
Method: DFT, PBE
State: optimized geometry

N(E_F) (states/eV per atom): 1.306
SG: No. 221

The structure in CIF format:
```
data_NbCo3N
_chemical_formula_sum 'Nb1 Co3 N1'
_space_group_name_H-M_alt 'P 1'
_space_group_IT_number 1
_cell_length_a 3.821
_cell_length_b 3.821
_cell_length_c 3.821
_cell_angle_alpha 90.00
_cell_angle_beta 90.00
_cell_angle_gamma 90.00
loop_
_space_group_symop_operation_xyz
'x,y,z'
loop_
_atom_site_label
_atom_site_type_symbol
_atom_site_fract_x
_atom_site_fract_y
_atom_site_fract_z
Nb1 Nb 0.000 0.000 0.000
Co1 Co 0.000 0.500 0.500
Co2 Co 0.500 0.000 0.500
Co3 Co 0.500 0.500 0.000
N1 N 0.500 0.500 0.500
```


Most stable of them? b).


a) Material: Nb4Co2N
Method: DFT, PBE
State: optimized geometry

N(E_F) (states/eV per atom): 1.096
SG: No. 227

The structure in CIF format:
```
data_Nb4Co2N
_chemical_formula_sum 'Nb16 Co8 N4'
_space_group_name_H-M_alt 'P 1'
_space_group_IT_number 1
_cell_length_a 8.245
_cell_length_b 8.245
_cell_length_c 8.245
_cell_angle_alpha 60.00
_cell_angle_beta 60.00
_cell_angle_gamma 60.00
loop_
_space_group_symop_operation_xyz
'x,y,z'
loop_
_atom_site_label
_atom_site_type_symbol
_atom_site_fract_x
_atom_site_fract_y
_atom_site_fract_z
Nb1 Nb 0.000 0.000 0.000
Nb2 Nb 0.000 0.000 0.500
Nb3 Nb 0.000 0.500 0.000
Nb4 Nb 0.189 0.189 0.561
Nb5 Nb 0.189 0.561 0.189
Nb6 Nb 0.189 0.561 0.561
Nb7 Nb 0.439 0.439 0.811
Nb8 Nb 0.439 0.811 0.439
Nb9 Nb 0.439 0.811 0.811
Nb10 Nb 0.500 0.000 0.000
Nb11 Nb 0.561 0.189 0.189
Nb12 Nb 0.561 0.189 0.561
Nb13 Nb 0.561 0.561 0.189
Nb14 Nb 0.811 0.439 0.439
Nb15 Nb 0.811 0.439 0.811
Nb16 Nb 0.811 0.811 0.439
Co1 Co 0.121 0.793 0.793
Co2 Co 0.207 0.207 0.207
Co3 Co 0.207 0.207 0.879
Co4 Co 0.207 0.879 0.207
Co5 Co 0.793 0.121 0.793
Co6 Co 0.793 0.793 0.121
Co7 Co 0.793 0.793 0.793
Co8 Co 0.879 0.207 0.207
N1 N 0.000 0.500 0.500
N2 N 0.500 0.000 0.500
N3 N 0.500 0.500 0.000
N4 N 0.500 0.500 0.500
```


b) Material: Nb4Co2N
Method: DFT, PBE
State: optimized geometry

N(E_F) (states/eV per atom): 1.102
SG: No. 55

The structure in CIF format:
```
data_Nb4Co2N
_chemical_formula_sum 'Nb8 Co4 N2'
_space_group_name_H-M_alt 'P 1'
_space_group_IT_number 1
_cell_length_a 6.771
_cell_length_b 9.817
_cell_length_c 3.130
_cell_angle_alpha 90.00
_cell_angle_beta 90.00
_cell_angle_gamma 90.00
loop_
_space_group_symop_operation_xyz
'x,y,z'
loop_
_atom_site_label
_atom_site_type_symbol
_atom_site_fract_x
_atom_site_fract_y
_atom_site_fract_z
Nb1 Nb 0.139 0.200 0.000
Nb2 Nb 0.199 0.939 0.500
Nb3 Nb 0.301 0.439 0.500
Nb4 Nb 0.361 0.700 0.000
Nb5 Nb 0.639 0.300 0.000
Nb6 Nb 0.699 0.561 0.500
Nb7 Nb 0.801 0.061 0.500
Nb8 Nb 0.861 0.800 0.000
Co1 Co 0.056 0.635 0.500
Co2 Co 0.444 0.135 0.500
Co3 Co 0.556 0.865 0.500
Co4 Co 0.944 0.365 0.500
N1 N 0.000 0.000 0.000
N2 N 0.500 0.500 0.000
```


Most stable of them? a).


a) Material: Nb2CoPtN
Method: DFT, PBE
State: optimized geometry

N(E_F) (states/eV per atom): 1.089
SG: No. 123

The structure in CIF format:
```
data_Nb2CoPtN
_chemical_formula_sum 'Nb2 Co1 Pt1 N1'
_space_group_name_H-M_alt 'P 1'
_space_group_IT_number 1
_cell_length_a 4.482
_cell_length_b 4.482
_cell_length_c 4.508
_cell_angle_alpha 90.00
_cell_angle_beta 90.00
_cell_angle_gamma 90.00
loop_
_space_group_symop_operation_xyz
'x,y,z'
loop_
_atom_site_label
_atom_site_type_symbol
_atom_site_fract_x
_atom_site_fract_y
_atom_site_fract_z
Nb1 Nb 0.000 0.500 0.000
Nb2 Nb 0.500 0.000 0.000
Co1 Co 0.000 0.000 0.000
Pt1 Pt 0.000 0.000 0.500
N1 N 0.500 0.500 0.500
```


b) Material: Nb2CoPtN
Method: DFT, PBE
State: optimized geometry

N(E_F) (states/eV per atom): 0.902
SG: No. 123

The structure in CIF format:
```
data_Nb2CoPtN
_chemical_formula_sum 'Nb2 Co1 Pt1 N1'
_space_group_name_H-M_alt 'P 1'
_space_group_IT_number 1
_cell_length_a 4.255
_cell_length_b 4.255
_cell_length_c 3.790
_cell_angle_alpha 90.00
_cell_angle_beta 90.00
_cell_angle_gamma 90.00
loop_
_space_group_symop_operation_xyz
'x,y,z'
loop_
_atom_site_label
_atom_site_type_symbol
_atom_site_fract_x
_atom_site_fract_y
_atom_site_fract_z
Nb1 Nb 0.000 0.500 0.000
Nb2 Nb 0.500 0.000 0.000
Co1 Co 0.000 0.000 0.500
Pt1 Pt 0.500 0.500 0.500
N1 N 0.000 0.000 0.000
```


Most stable of them? b).


a) Material: NbCoTe2N
Method: DFT, PBE
State: optimized geometry

N(E_F) (states/eV per atom): 1.166
SG: No. 123

The structure in CIF format:
```
data_NbCoTe2N
_chemical_formula_sum 'Nb1 Co1 Te2 N1'
_space_group_name_H-M_alt 'P 1'
_space_group_IT_number 1
_cell_length_a 5.544
_cell_length_b 5.544
_cell_length_c 3.878
_cell_angle_alpha 90.00
_cell_angle_beta 90.00
_cell_angle_gamma 90.00
loop_
_space_group_symop_operation_xyz
'x,y,z'
loop_
_atom_site_label
_atom_site_type_symbol
_atom_site_fract_x
_atom_site_fract_y
_atom_site_fract_z
Nb1 Nb 0.000 0.000 0.000
Co1 Co 0.500 0.500 0.500
Te1 Te 0.000 0.500 0.000
Te2 Te 0.500 0.000 0.000
N1 N 0.000 0.000 0.500
```


b) Material: NbCoTe2N
Method: DFT, PBE
State: optimized geometry

N(E_F) (states/eV per atom): 1.030
SG: No. 123

The structure in CIF format:
```
data_NbCoTe2N
_chemical_formula_sum 'Nb1 Co1 Te2 N1'
_space_group_name_H-M_alt 'P 1'
_space_group_IT_number 1
_cell_length_a 4.940
_cell_length_b 4.940
_cell_length_c 3.557
_cell_angle_alpha 90.00
_cell_angle_beta 90.00
_cell_angle_gamma 90.00
loop_
_space_group_symop_operation_xyz
'x,y,z'
loop_
_atom_site_label
_atom_site_type_symbol
_atom_site_fract_x
_atom_site_fract_y
_atom_site_fract_z
Nb1 Nb 0.000 0.000 0.000
Co1 Co 0.500 0.500 0.000
Te1 Te 0.000 0.500 0.500
Te2 Te 0.500 0.000 0.500
N1 N 0.500 0.500 0.500
```


Most stable of them? b).


a) Material: NbCoTeN2
Method: DFT, PBE
State: optimized geometry

N(E_F) (states/eV per atom): 1.591
SG: No. 123

The structure in CIF format:
```
data_NbCoTeN2
_chemical_formula_sum 'Nb1 Co1 Te1 N2'
_space_group_name_H-M_alt 'P 1'
_space_group_IT_number 1
_cell_length_a 3.972
_cell_length_b 3.972
_cell_length_c 5.985
_cell_angle_alpha 90.00
_cell_angle_beta 90.00
_cell_angle_gamma 90.00
loop_
_space_group_symop_operation_xyz
'x,y,z'
loop_
_atom_site_label
_atom_site_type_symbol
_atom_site_fract_x
_atom_site_fract_y
_atom_site_fract_z
Nb1 Nb 0.000 0.000 0.000
Co1 Co 0.500 0.500 0.500
Te1 Te 0.000 0.000 0.500
N1 N 0.000 0.500 0.000
N2 N 0.500 0.000 0.000
```


b) Material: NbCoTeN2
Method: DFT, PBE
State: optimized geometry

N(E_F) (states/eV per atom): 1.098
SG: No. 123

The structure in CIF format:
```
data_NbCoTeN2
_chemical_formula_sum 'Nb1 Co1 Te1 N2'
_space_group_name_H-M_alt 'P 1'
_space_group_IT_number 1
_cell_length_a 3.856
_cell_length_b 3.856
_cell_length_c 4.941
_cell_angle_alpha 90.00
_cell_angle_beta 90.00
_cell_angle_gamma 90.00
loop_
_space_group_symop_operation_xyz
'x,y,z'
loop_
_atom_site_label
_atom_site_type_symbol
_atom_site_fract_x
_atom_site_fract_y
_atom_site_fract_z
Nb1 Nb 0.000 0.000 0.000
Co1 Co 0.500 0.500 0.500
Te1 Te 0.500 0.500 0.000
N1 N 0.000 0.500 0.500
N2 N 0.500 0.000 0.500
```


Most stable of them? a).